Record 1
Ti12FeBi6: relaxed, PBE.

DOS at the Fermi energy ... 1.3116 states/eV/atom
Total moment ... 5.10 Bohr magnetons per cell
V ... 21.7 A^3/atom
DFT formation energy ... 1.60 eV per formula unit

Cell: 7.632 7.632 7.632 Å, 101.54 101.54 101.54°
Fractional coordinates of all 19 atoms:
Bi  0.895  0.328  0.660
Bi  0.660  0.895  0.328
Bi  0.340  0.105  0.672
Bi  0.105  0.672  0.340
Bi  0.672  0.340  0.105
Bi  0.328  0.660  0.895
Fe  0.000  0.000  0.000
Ti  0.772  0.599  0.501
Ti  0.308  0.054  0.026
Ti  0.026  0.308  0.054
Ti  0.228  0.401  0.499
Ti  0.692  0.946  0.974
Ti  0.054  0.026  0.308
Ti  0.501  0.772  0.599
Ti  0.499  0.228  0.401
Ti  0.599  0.501  0.772
Ti  0.974  0.692  0.946
Ti  0.401  0.499  0.228
Ti  0.946  0.974  0.692

=====

Record 2
Ca2PuSn2Rh5: relaxed, PBE.

DOS at the Fermi energy ... 1.4276 states/eV/atom
Total moment ... 8.95 Bohr magnetons per cell
V ... 19.8 A^3/atom
DFT formation energy ... -4.75 eV per formula unit

Cell: 3.775 10.253 10.253 Å, 90.00 90.00 90.00°
Fractional coordinates of all 20 atoms:
Ca  0.000  0.831  0.669
Ca  0.000  0.169  0.331
Ca  0.000  0.331  0.831
Ca  0.000  0.669  0.169
Sn  0.000  0.129  0.629
Sn  0.000  0.629  0.871
Sn  0.000  0.871  0.371
Sn  0.000  0.371  0.129
Pu  0.000  0.000  0.000
Pu  0.000  0.500  0.500
Rh  0.500  0.696  0.435
Rh  0.500  0.435  0.304
Rh  0.500  0.000  0.500
Rh  0.500  0.935  0.196
Rh  0.500  0.565  0.696
Rh  0.500  0.304  0.565
Rh  0.500  0.196  0.065
Rh  0.500  0.804  0.935
Rh  0.500  0.065  0.804
Rh  0.500  0.500  0.000

=====

Record 3
MoIr2Os: relaxed, PBE.

DOS at the Fermi energy ... 1.0376 states/eV/atom
Total moment ... 0.00 Bohr magnetons per cell
V ... 14.8 A^3/atom
Energy above the most stable polymorph in this dataset ... 0.96 eV per formula unit
DFT formation energy ... 0.05 eV per formula unit

Cell: 9.160 9.160 9.160 Å, 17.28 17.28 17.28°
Fractional coordinates of all 4 atoms:
Ir  0.001  0.001  0.001
Ir  0.249  0.249  0.249
Mo  0.501  0.501  0.501
Os  0.749  0.749  0.749

=====

Record 4
Th4TlSb3: relaxed, PBE.

DOS at the Fermi energy ... 0.6988 states/eV/atom
Total moment ... 0.00 Bohr magnetons per cell
V ... 32.6 A^3/atom
Formation energy (no corrections) ... -676 meV per atom

Cell: 4.532 7.813 7.813 Å, 109.59 90.00 90.00°
Fractional coordinates of all 8 atoms:
Tl  0.500  0.000  0.000
Sb  0.000  0.000  0.500
Sb  0.500  0.500  0.500
Sb  0.000  0.500  0.000
Th  0.000  0.248  0.248
Th  0.500  0.751  0.249
Th  0.000  0.752  0.752
Th  0.500  0.249  0.751

=====

Record 5
Be2ZnS: relaxed, PBE.

DOS at the Fermi energy ... 0.0047 states/eV/atom
Total moment ... 0.00 Bohr magnetons per cell
V ... 15.3 A^3/atom
Formation energy (no corrections) ... 38 meV per atom
Energy above the most stable polymorph in this dataset ... 0.00 eV per formula unit

Cell: 5.556 5.556 5.590 Å, 60.20 60.20 90.00°
Fractional coordinates of all 8 atoms:
Be  0.578  0.125  0.250
Be  0.172  0.625  0.250
Be  0.875  0.828  0.750
Be  0.375  0.422  0.750
S  0.250  0.750  0.500
S  0.500  0.500  0.000
Zn  0.000  0.000  0.000
Zn  0.750  0.250  0.500

=====

Record 6
PuTlIn2O8: relaxed, PBE.

DOS at the Fermi energy ... 0.0263 states/eV/atom
Total moment ... 1.00 Bohr magnetons per cell
V ... 14.1 A^3/atom
Formation energy (no corrections) ... -1582 meV per atom

Cell: 4.979 4.976 6.851 Å, 90.00 90.00 92.59°
Fractional coordinates of all 12 atoms:
O  0.307  0.306  0.500
O  0.192  0.808  0.788
O  0.192  0.808  0.212
O  0.808  0.192  0.788
O  0.300  0.299  0.000
O  0.700  0.701  0.000
O  0.693  0.694  0.500
O  0.808  0.192  0.212
Tl  0.000  0.000  0.500
In  0.500  0.500  0.251
In  0.500  0.500  0.749
Pu  0.000  0.000  0.000

=====

Record 7
MgZnPtO4: relaxed, PBE.

Total moment ... 0.00 Bohr magnetons per cell
V ... 11.5 A^3/atom
Formation energy (no corrections) ... -1445 meV per atom

Cell: 6.210 6.100 5.997 Å, 119.44 90.00 120.59°
Fractional coordinates of all 14 atoms:
O  0.739  0.024  0.262
O  0.253  0.506  0.277
O  0.253  0.506  0.729
O  0.747  0.494  0.271
O  0.715  0.976  0.738
O  0.747  0.494  0.723
O  0.261  0.976  0.738
O  0.285  0.024  0.262
Mg  0.500  0.000  0.500
Mg  0.500  0.000  0.000
Zn  0.100  0.200  0.850
Zn  0.900  0.800  0.150
Pt  0.000  0.500  0.500
Pt  0.500  0.500  0.500

=====

Record 8
Na2UBr4: relaxed, PBE.

DOS at the Fermi energy ... 1.2676 states/eV/atom
Total moment ... 3.74 Bohr magnetons per cell
V ... 36.9 A^3/atom
Formation energy (no corrections) ... -1033 meV per atom

Cell: 5.813 5.813 8.672 Å, 70.42 70.42 90.00°
Fractional coordinates of all 7 atoms:
Br  0.000  0.500  0.000
Br  0.811  0.811  0.377
Br  0.500  0.000  0.000
Br  0.189  0.189  0.623
Na  0.373  0.373  0.254
Na  0.627  0.627  0.746
U  0.000  0.000  0.000

=====

Record 9
Li2PuPbF8: relaxed, PBE.

DOS at the Fermi energy ... 0.4112 states/eV/atom
Total moment ... 4.00 Bohr magnetons per cell
V ... 16.7 A^3/atom
Formation energy (no corrections) ... -2847 meV per atom

Cell: 5.542 5.542 7.530 Å, 90.00 90.00 120.00°
Fractional coordinates of all 12 atoms:
F  0.327  0.163  0.195
F  0.163  0.837  0.805
F  0.163  0.327  0.805
F  0.837  0.163  0.195
F  0.667  0.333  0.545
F  0.837  0.673  0.195
F  0.333  0.667  0.455
F  0.673  0.837  0.805
Pb  0.000  0.000  0.500
Li  0.667  0.333  0.311
Li  0.333  0.667  0.689
Pu  0.000  0.000  0.000

=====

Record 10
LuMgTl2: relaxed, PBE.

DOS at the Fermi energy ... 0.7974 states/eV/atom
Total moment ... 0.00 Bohr magnetons per cell
V ... 25.2 A^3/atom
DFT formation energy ... -0.61 eV per formula unit

Cell: 5.225 5.225 5.225 Å, 60.00 60.00 60.00°
Fractional coordinates of all 4 atoms:
Tl  0.000  0.000  0.000
Tl  0.500  0.500  0.500
Lu  0.250  0.250  0.250
Mg  0.750  0.750  0.750

=====

Record 11
ZrCoSe2: relaxed, PBE.

DOS at the Fermi energy ... 1.0780 states/eV/atom
Total moment ... 1.12 Bohr magnetons per cell
V ... 19.7 A^3/atom
Formation energy (no corrections) ... -651 meV per atom
Energy above the most stable polymorph in this dataset ... 0.38 eV per formula unit

Cell: 3.577 3.577 6.152 Å, 90.00 90.00 90.00°
Fractional coordinates of all 4 atoms:
Zr  0.000  0.000  0.492
Co  0.500  0.500  0.755
Se  0.500  0.500  0.349
Se  0.000  0.000  0.904

=====

Record 12
PmTmGaPb: relaxed, PBE.

DOS at the Fermi energy ... 0.6970 states/eV/atom
Total moment ... 0.00 Bohr magnetons per cell
V ... 26.4 A^3/atom
DFT formation energy ... -1.68 eV per formula unit

Cell: 5.307 5.307 5.307 Å, 60.00 60.00 60.00°
Fractional coordinates of all 4 atoms:
Ga  0.250  0.250  0.250
Tm  0.500  0.500  0.500
Pb  0.750  0.750  0.750
Pm  0.000  0.000  0.000

=====

Result set for uncorrected energy: -124.9 -135.7 -39.7 -49.8 -25.4 -80.8 -77.7 -27.8 -71.0 -11.5 -25.2 -17.6 eV per cell, one per record in the order listed.